w:
! Er8Cu2Rh (PBE-GGA, relaxed); values from VASP
! DOS(E_F) in states/eV/f.u.: 14.0
! Magnetization in Bohr magnetons per cell: 0.000
&SYSTEM
  ibrav = 0, nat = 11, ntyp = 3
/
ATOMIC_SPECIES
Er 167.26 Er.upf
Cu 63.55 Cu.upf
Rh 102.91 Rh.upf
CELL_PARAMETERS angstrom
5.696 -0.027 -1.013
-2.004 6.750 -3.103
-0.120 -0.366 7.684
ATOMIC_POSITIONS crystal
Er 0.593 0.342 0.092
Er 0.593 0.092 0.342
Er 0.180 0.367 0.367
Er 0.989 0.207 0.799
Er 0.989 0.799 0.207
Er 0.802 0.640 0.640
Er 0.370 0.911 0.661
Er 0.370 0.661 0.911
Cu 0.493 0.703 0.308
Cu 0.493 0.308 0.703
Rh 0.129 0.004 0.004


x:
! Er8Cu2Rh (PBE-GGA, relaxed); values from VASP
! DOS(E_F) in states/eV/f.u.: 8.7
! Magnetization in Bohr magnetons per cell: 0.000
&SYSTEM
  ibrav = 0, nat = 11, ntyp = 3
/
ATOMIC_SPECIES
Er 167.26 Er.upf
Cu 63.55 Cu.upf
Rh 102.91 Rh.upf
CELL_PARAMETERS angstrom
5.050 0.000 0.000
0.000 6.604 0.162
-2.525 -2.642 8.120
ATOMIC_POSITIONS crystal
Er 0.409 0.556 0.819
Er 0.667 0.978 0.333
Er 0.800 0.676 0.601
Er 0.968 0.211 0.935
Er 0.200 0.324 0.399
Er 0.333 0.022 0.667
Er 0.591 0.444 0.181
Er 0.032 0.789 0.065
Cu 0.815 0.277 0.630
Cu 0.185 0.723 0.370
Rh 0.500 0.000 0.000


Which structure is the least stable? The one labeled w.


w:
! TbErCuRh (PBE-GGA, relaxed); values from VASP
! DOS(E_F) in states/eV/f.u.: 2.8
! Magnetization in Bohr magnetons per cell: 0.000
&SYSTEM
  ibrav = 0, nat = 4, ntyp = 4
/
ATOMIC_SPECIES
Tb 158.93 Tb.upf
Er 167.26 Er.upf
Cu 63.55 Cu.upf
Rh 102.91 Rh.upf
CELL_PARAMETERS angstrom
3.756 0.000 0.000
0.000 4.376 0.000
-1.878 0.000 5.174
ATOMIC_POSITIONS crystal
Tb 0.142 0.000 0.283
Er 0.863 0.500 0.727
Cu 0.576 0.500 0.152
Rh 0.419 0.000 0.838


x:
! TbErCuRh (PBE-GGA, relaxed); values from VASP
! DOS(E_F) in states/eV/f.u.: 3.6
! Magnetization in Bohr magnetons per cell: 0.000
&SYSTEM
  ibrav = 0, nat = 4, ntyp = 4
/
ATOMIC_SPECIES
Rh 102.91 Rh.upf
Tb 158.93 Tb.upf
Cu 63.55 Cu.upf
Er 167.26 Er.upf
CELL_PARAMETERS angstrom
4.871 0.000 0.000
2.435 4.218 0.000
2.435 1.406 3.977
ATOMIC_POSITIONS crystal
Rh 0.750 0.750 0.750
Tb 0.000 0.000 0.000
Cu 0.250 0.250 0.250
Er 0.500 0.500 0.500


Which structure is the least stable? The one labeled x.


w:
! ErThCuRh (PBE-GGA, relaxed); values from VASP
! DOS(E_F) in states/eV/f.u.: 1.9
! Magnetization in Bohr magnetons per cell: 0.000
&SYSTEM
  ibrav = 0, nat = 4, ntyp = 4
/
ATOMIC_SPECIES
Rh 102.91 Rh.upf
Cu 63.55 Cu.upf
Th 232.04 Th.upf
Er 167.26 Er.upf
CELL_PARAMETERS angstrom
4.967 0.000 0.000
2.483 4.301 0.000
2.483 1.434 4.055
ATOMIC_POSITIONS crystal
Rh 0.250 0.250 0.250
Cu 0.750 0.750 0.750
Th 0.000 0.000 0.000
Er 0.500 0.500 0.500


x:
! ErThCuRh (PBE-GGA, relaxed); values from VASP
! DOS(E_F) in states/eV/f.u.: 2.6
! Magnetization in Bohr magnetons per cell: 0.000
&SYSTEM
  ibrav = 0, nat = 4, ntyp = 4
/
ATOMIC_SPECIES
Er 167.26 Er.upf
Th 232.04 Th.upf
Cu 63.55 Cu.upf
Rh 102.91 Rh.upf
CELL_PARAMETERS angstrom
3.884 0.000 0.000
0.000 4.093 0.000
-1.942 0.000 5.649
ATOMIC_POSITIONS crystal
Er 0.143 0.000 0.286
Th 0.869 0.500 0.737
Cu 0.581 0.500 0.162
Rh 0.407 0.000 0.815


Which structure is the least stable? The one labeled w.


w:
! Er8CuRu2 (PBE-GGA, relaxed); values from VASP
! DOS(E_F) in states/eV/f.u.: 11.6
! Magnetization in Bohr magnetons per cell: 0.000
&SYSTEM
  ibrav = 0, nat = 11, ntyp = 3
/
ATOMIC_SPECIES
Er 167.26 Er.upf
Cu 63.55 Cu.upf
Ru 101.07 Ru.upf
CELL_PARAMETERS angstrom
4.833 0.000 0.000
0.000 6.821 0.129
-2.417 -2.768 8.197
ATOMIC_POSITIONS crystal
Er 0.404 0.537 0.807
Er 0.670 0.965 0.340
Er 0.796 0.684 0.593
Er 0.967 0.217 0.934
Er 0.204 0.316 0.407
Er 0.330 0.035 0.660
Er 0.596 0.463 0.193
Er 0.033 0.783 0.066
Cu 0.500 0.000 0.000
Ru 0.814 0.295 0.628
Ru 0.186 0.705 0.372


x:
! Er8CuRu2 (PBE-GGA, relaxed); values from VASP
! DOS(E_F) in states/eV/f.u.: 10.3
! Magnetization in Bohr magnetons per cell: 0.000
&SYSTEM
  ibrav = 0, nat = 11, ntyp = 3
/
ATOMIC_SPECIES
Ru 101.07 Ru.upf
Cu 63.55 Cu.upf
Er 167.26 Er.upf
CELL_PARAMETERS angstrom
5.678 0.082 -0.938
-1.833 6.740 -2.765
-0.038 -0.039 7.511
ATOMIC_POSITIONS crystal
Ru 0.486 0.694 0.317
Ru 0.486 0.317 0.694
Cu 0.137 0.000 0.000
Er 0.582 0.342 0.079
Er 0.582 0.079 0.342
Er 0.180 0.370 0.370
Er 0.989 0.225 0.777
Er 0.989 0.777 0.225
Er 0.795 0.632 0.632
Er 0.386 0.930 0.667
Er 0.386 0.667 0.930


Which structure is the least stable? The one labeled x.


w:
! Er3CuRu (PBE-GGA, relaxed); values from VASP
! DOS(E_F) in states/eV/f.u.: 4.4
! Magnetization in Bohr magnetons per cell: 0.000
&SYSTEM
  ibrav = 0, nat = 10, ntyp = 3
/
ATOMIC_SPECIES
Er 167.26 Er.upf
Cu 63.55 Cu.upf
Ru 101.07 Ru.upf
CELL_PARAMETERS angstrom
4.066 0.000 0.001
0.000 6.450 0.012
-0.001 0.008 8.790
ATOMIC_POSITIONS crystal
Er 0.250 0.784 0.559
Er 0.250 0.271 0.749
Er 0.250 0.783 0.942
Er 0.750 0.216 0.441
Er 0.750 0.217 0.058
Er 0.750 0.729 0.251
Cu 0.750 0.574 0.750
Cu 0.250 0.426 0.250
Ru 0.250 0.021 0.250
Ru 0.750 0.979 0.750


x:
! Er3CuRu (PBE-GGA, relaxed); values from VASP
! DOS(E_F) in states/eV/f.u.: 3.6
! Magnetization in Bohr magnetons per cell: 0.000
&SYSTEM
  ibrav = 0, nat = 10, ntyp = 3
/
ATOMIC_SPECIES
Er 167.26 Er.upf
Cu 63.55 Cu.upf
Ru 101.07 Ru.upf
CELL_PARAMETERS angstrom
5.604 -0.177 0.422
-3.035 5.431 -0.458
0.742 -2.418 7.749
ATOMIC_POSITIONS crystal
Er 0.504 0.813 0.124
Er 0.130 0.421 0.710
Er 0.844 0.787 0.714
Er 0.156 0.213 0.286
Er 0.496 0.187 0.876
Er 0.870 0.579 0.290
Cu 0.532 0.210 0.502
Cu 0.468 0.790 0.498
Ru 0.000 0.749 0.000
Ru 0.000 0.251 0.000


Which structure is the least stable? The one labeled w.


w:
! Er2CuS (PBE-GGA, relaxed); values from VASP
! DOS(E_F) in states/eV/f.u.: 2.8
! Magnetization in Bohr magnetons per cell: 0.000
&SYSTEM
  ibrav = 0, nat = 4, ntyp = 3
/
ATOMIC_SPECIES
Er 167.26 Er.upf
Cu 63.55 Cu.upf
S 32.06 S.upf
CELL_PARAMETERS angstrom
3.768 0.000 0.000
1.884 3.263 0.000
1.884 1.088 7.152
ATOMIC_POSITIONS crystal
Er 0.082 0.082 0.754
Er 0.252 0.252 0.245
Cu 0.668 0.668 0.997
S 0.499 0.499 0.504


x:
! Er2CuS (PBE-GGA, relaxed); values from VASP
! DOS(E_F) in states/eV/f.u.: 1.8
! Magnetization in Bohr magnetons per cell: 0.000
&SYSTEM
  ibrav = 0, nat = 8, ntyp = 3
/
ATOMIC_SPECIES
Er 167.26 Er.upf
Cu 63.55 Cu.upf
S 32.06 S.upf
CELL_PARAMETERS angstrom
3.895 0.000 0.000
0.000 3.808 -0.676
0.000 0.039 11.274
ATOMIC_POSITIONS crystal
Er 0.750 0.685 0.370
Er 0.250 0.315 0.630
Er 0.750 0.930 0.860
Er 0.250 0.070 0.140
Cu 0.250 0.462 0.923
Cu 0.750 0.538 0.077
S 0.250 0.193 0.386
S 0.750 0.807 0.614


Which structure is the least stable? The one labeled w.


w:
! Er2CuSb (PBE-GGA, relaxed); values from VASP
! DOS(E_F) in states/eV/f.u.: 3.4
! Magnetization in Bohr magnetons per cell: 0.000
&SYSTEM
  ibrav = 0, nat = 4, ntyp = 3
/
ATOMIC_SPECIES
Sb 121.76 Sb.upf
Cu 63.55 Cu.upf
Er 167.26 Er.upf
CELL_PARAMETERS angstrom
3.891 0.000 0.000
0.000 4.908 0.000
0.000 0.000 4.908
ATOMIC_POSITIONS crystal
Sb 0.500 0.000 0.000
Cu 0.500 0.500 0.500
Er 0.000 0.000 0.500
Er 0.000 0.500 0.000


x:
! Er2CuSb (PBE-GGA, relaxed); values from VASP
! DOS(E_F) in states/eV/f.u.: 4.0
! Magnetization in Bohr magnetons per cell: 0.000
&SYSTEM
  ibrav = 0, nat = 8, ntyp = 3
/
ATOMIC_SPECIES
Er 167.26 Er.upf
Cu 63.55 Cu.upf
Sb 121.76 Sb.upf
CELL_PARAMETERS angstrom
-0.060 3.289 2.477
-4.585 -2.361 3.024
7.171 -2.406 3.370
ATOMIC_POSITIONS crystal
Er 0.750 0.240 0.443
Er 0.250 0.760 0.557
Er 0.750 0.687 0.910
Er 0.250 0.313 0.090
Cu 0.750 0.638 0.291
Cu 0.250 0.362 0.709
Sb 0.750 0.123 0.791
Sb 0.250 0.877 0.209


Which structure is the least stable? The one labeled w.


w:
! Er2ScCu (PBE-GGA, relaxed); values from VASP
! DOS(E_F) in states/eV/f.u.: 6.5
! Magnetization in Bohr magnetons per cell: 0.662
&SYSTEM
  ibrav = 0, nat = 4, ntyp = 3
/
ATOMIC_SPECIES
Sc 44.96 Sc.upf
Cu 63.55 Cu.upf
Er 167.26 Er.upf
CELL_PARAMETERS angstrom
3.376 0.000 0.000
1.688 2.923 0.000
1.688 0.974 10.488
ATOMIC_POSITIONS crystal
Sc 0.000 0.000 0.000
Cu 0.500 0.500 0.500
Er 0.101 0.101 0.697
Er 0.899 0.899 0.303


x:
! Er2ScCu (PBE-GGA, relaxed); values from VASP
! DOS(E_F) in states/eV/f.u.: 5.8
! Magnetization in Bohr magnetons per cell: 0.000
&SYSTEM
  ibrav = 0, nat = 8, ntyp = 3
/
ATOMIC_SPECIES
Er 167.26 Er.upf
Sc 44.96 Sc.upf
Cu 63.55 Cu.upf
CELL_PARAMETERS angstrom
-1.565 1.201 -2.907
5.392 -2.714 -1.895
-4.321 -7.925 -0.947
ATOMIC_POSITIONS crystal
Er 0.366 0.734 0.559
Er 0.634 0.266 0.441
Er 0.366 0.734 0.941
Er 0.634 0.266 0.059
Sc 0.939 0.878 0.250
Sc 0.061 0.122 0.750
Cu 0.740 0.483 0.750
Cu 0.260 0.517 0.250


Which structure is the least stable? The one labeled w.


w:
! Er2ScCu2 (PBE-GGA, relaxed); values from VASP
! DOS(E_F) in states/eV/f.u.: 7.3
! Magnetization in Bohr magnetons per cell: 0.002
&SYSTEM
  ibrav = 0, nat = 5, ntyp = 3
/
ATOMIC_SPECIES
Er 167.26 Er.upf
Sc 44.96 Sc.upf
Cu 63.55 Cu.upf
CELL_PARAMETERS angstrom
3.695 0.000 0.000
1.847 5.665 0.325
1.847 1.830 5.371
ATOMIC_POSITIONS crystal
Er 0.202 0.298 0.298
Er 0.798 0.702 0.702
Sc 0.000 0.000 0.000
Cu 0.500 0.302 0.698
Cu 0.500 0.698 0.302


x:
! Er2ScCu2 (PBE-GGA, relaxed); values from VASP
! DOS(E_F) in states/eV/f.u.: 7.2
! Magnetization in Bohr magnetons per cell: 0.001
&SYSTEM
  ibrav = 0, nat = 10, ntyp = 3
/
ATOMIC_SPECIES
Er 167.26 Er.upf
Sc 44.96 Sc.upf
Cu 63.55 Cu.upf
CELL_PARAMETERS angstrom
3.558 0.000 0.000
0.000 7.774 0.000
0.000 0.000 7.774
ATOMIC_POSITIONS crystal
Er 0.500 0.169 0.669
Er 0.500 0.669 0.831
Er 0.500 0.831 0.331
Er 0.500 0.331 0.169
Sc 0.000 0.000 0.000
Sc 0.000 0.500 0.500
Cu 0.000 0.376 0.876
Cu 0.000 0.876 0.624
Cu 0.000 0.624 0.124
Cu 0.000 0.124 0.376


Which structure is the least stable? The one labeled w.


w:
! ErTmCuSi (PBE-GGA, relaxed); values from VASP
! DOS(E_F) in states/eV/f.u.: 2.9
! Magnetization in Bohr magnetons per cell: 0.000
&SYSTEM
  ibrav = 0, nat = 4, ntyp = 4
/
ATOMIC_SPECIES
Si 28.09 Si.upf
Tm 168.93 Tm.upf
Cu 63.55 Cu.upf
Er 167.26 Er.upf
CELL_PARAMETERS angstrom
-4.265 -0.630 -2.265
-2.512 -4.123 0.641
-4.145 0.047 2.556
ATOMIC_POSITIONS crystal
Si 0.750 0.750 0.750
Tm 0.500 0.500 0.500
Cu 0.250 0.250 0.250
Er 0.000 0.000 0.000


x:
! ErTmCuSi (PBE-GGA, relaxed); values from VASP
! DOS(E_F) in states/eV/f.u.: 2.8
! Magnetization in Bohr magnetons per cell: 0.000
&SYSTEM
  ibrav = 0, nat = 4, ntyp = 4
/
ATOMIC_SPECIES
Er 167.26 Er.upf
Tm 168.93 Tm.upf
Cu 63.55 Cu.upf
Si 28.09 Si.upf
CELL_PARAMETERS angstrom
-3.996 0.177 0.302
0.208 -1.625 3.694
2.370 4.734 1.950
ATOMIC_POSITIONS crystal
Er 0.142 0.000 0.284
Tm 0.861 0.500 0.723
Cu 0.569 0.500 0.138
Si 0.428 0.000 0.856


Which structure is the least stable? The one labeled w.


w:
! SmErCu (PBE-GGA, relaxed); values from VASP
! DOS(E_F) in states/eV/f.u.: 3.1
! Magnetization in Bohr magnetons per cell: 0.000
&SYSTEM
  ibrav = 0, nat = 3, ntyp = 3
/
ATOMIC_SPECIES
Sm 150.36 Sm.upf
Cu 63.55 Cu.upf
Er 167.26 Er.upf
CELL_PARAMETERS angstrom
3.490 0.000 0.000
0.000 3.490 0.000
-1.745 -1.745 6.212
ATOMIC_POSITIONS crystal
Sm 0.023 0.023 0.046
Cu 0.675 0.675 0.350
Er 0.302 0.302 0.603


x:
! SmErCu (PBE-GGA, relaxed); values from VASP
! DOS(E_F) in states/eV/f.u.: 4.1
! Magnetization in Bohr magnetons per cell: 0.000
&SYSTEM
  ibrav = 0, nat = 3, ntyp = 3
/
ATOMIC_SPECIES
Cu 63.55 Cu.upf
Sm 150.36 Sm.upf
Er 167.26 Er.upf
CELL_PARAMETERS angstrom
4.872 0.000 0.000
2.436 4.219 0.000
2.436 1.406 3.978
ATOMIC_POSITIONS crystal
Cu 0.250 0.250 0.250
Sm 0.500 0.500 0.500
Er 0.000 0.000 0.000


y:
! SmErCu (PBE-GGA, relaxed); values from VASP
! DOS(E_F) in states/eV/f.u.: 3.0
! Magnetization in Bohr magnetons per cell: 0.000
&SYSTEM
  ibrav = 0, nat = 3, ntyp = 3
/
ATOMIC_SPECIES
Sm 150.36 Sm.upf
Cu 63.55 Cu.upf
Er 167.26 Er.upf
CELL_PARAMETERS angstrom
-0.758 3.511 -0.211
-1.131 -1.919 2.827
5.986 1.498 3.412
ATOMIC_POSITIONS crystal
Sm 0.000 0.000 0.041
Cu 0.667 0.333 0.341
Er 0.333 0.667 0.618


Which structure is the least stable? The one labeled x.


w:
! Sm2ErCu (PBE-GGA, relaxed); values from VASP
! DOS(E_F) in states/eV/f.u.: 6.2
! Magnetization in Bohr magnetons per cell: 0.000
&SYSTEM
  ibrav = 0, nat = 4, ntyp = 3
/
ATOMIC_SPECIES
Cu 63.55 Cu.upf
Sm 150.36 Sm.upf
Er 167.26 Er.upf
CELL_PARAMETERS angstrom
-0.112 -3.139 1.705
3.541 0.125 0.462
-1.119 4.091 7.458
ATOMIC_POSITIONS crystal
Cu 0.500 0.500 0.000
Sm 0.000 0.000 0.797
Sm 0.000 0.000 0.203
Er 0.500 0.500 0.500


x:
! Sm2ErCu (PBE-GGA, relaxed); values from VASP
! DOS(E_F) in states/eV/f.u.: 4.5
! Magnetization in Bohr magnetons per cell: 0.000
&SYSTEM
  ibrav = 0, nat = 8, ntyp = 3
/
ATOMIC_SPECIES
Sm 150.36 Sm.upf
Er 167.26 Er.upf
Cu 63.55 Cu.upf
CELL_PARAMETERS angstrom
-0.197 0.723 -4.877
-5.480 -1.926 2.428
-2.055 7.321 1.168
ATOMIC_POSITIONS crystal
Sm 0.355 0.709 0.531
Sm 0.645 0.291 0.469
Sm 0.355 0.709 0.969
Sm 0.645 0.291 0.031
Er 0.956 0.913 0.250
Er 0.044 0.087 0.750
Cu 0.800 0.599 0.750
Cu 0.200 0.401 0.250


Which structure is the least stable? The one labeled x.